1.
# CaPr3Pb2 GGA-PBE relaxed
# - crystal system = monoclinic
# - energy of formation from the pure elements (kJ/mol of formula units) = -204
# - magnetic moment (μB per cell) = 0.0
# - symmetry = C2/m, No. 12
data_CaPr3Pb2
_chemical_formula_sum 'Ca2 Pr6 Pb4'
_space_group_name_H-M_alt 'P 1'
_space_group_IT_number 1
_cell_length_a 9.7002
_cell_length_b 9.7002
_cell_length_c 10.0423
_cell_angle_alpha 114.04
_cell_angle_beta 114.04
_cell_angle_gamma 28.44
loop_
_space_group_symop_operation_xyz
'x,y,z'
loop_
_atom_site_label
_atom_site_fract_x
_atom_site_fract_y
_atom_site_fract_z
_atom_site_occupancy
Ca1 0.1101 0.1101 0.1180 1
Ca2 0.8899 0.8899 0.8820 1
Pr1 0.0510 0.0510 0.6817 1
Pr2 0.3048 0.3048 0.1122 1
Pr3 0.3517 0.3517 0.5168 1
Pr4 0.6483 0.6483 0.4832 1
Pr5 0.6952 0.6952 0.8878 1
Pr6 0.9490 0.9490 0.3183 1
Pb1 0.2469 0.2469 0.7176 1
Pb2 0.4949 0.4949 0.1534 1
Pb3 0.5051 0.5051 0.8466 1
Pb4 0.7531 0.7531 0.2824 1

=====

2.
# Ca3Pr12Pb5 GGA-PBE relaxed
# - crystal system = cubic
# - energy of formation from the pure elements (kJ/mol of formula units) = 634
# - magnetic moment (μB per cell) = 3.3
# - symmetry = Ia-3d, No. 230
data_Ca3Pr12Pb5
_chemical_formula_sum 'Ca12 Pr48 Pb20'
_space_group_name_H-M_alt 'P 1'
_space_group_IT_number 1
_cell_length_a 16.6694
_cell_length_b 16.6694
_cell_length_c 16.6694
_cell_angle_alpha 109.47
_cell_angle_beta 109.47
_cell_angle_gamma 109.47
loop_
_space_group_symop_operation_xyz
'x,y,z'
loop_
_atom_site_label
_atom_site_fract_x
_atom_site_fract_y
_atom_site_fract_z
_atom_site_occupancy
Ca1 0.1250 0.2500 0.3750 1
Ca2 0.1250 0.3750 0.7500 1
Ca3 0.2500 0.3750 0.1250 1
Ca4 0.2500 0.8750 0.6250 1
Ca5 0.3750 0.1250 0.2500 1
Ca6 0.3750 0.7500 0.1250 1
Ca7 0.6250 0.2500 0.8750 1
Ca8 0.6250 0.8750 0.7500 1
Ca9 0.7500 0.1250 0.3750 1
Ca10 0.7500 0.6250 0.8750 1
Ca11 0.8750 0.6250 0.2500 1
Ca12 0.8750 0.7500 0.6250 1
Pr1 0.0432 0.2154 0.1154 1
Pr2 0.0432 0.3278 0.9277 1
Pr3 0.0723 0.6154 0.4001 1
Pr4 0.0723 0.9568 0.6722 1
Pr5 0.0999 0.7154 0.6722 1
Pr6 0.0999 0.8846 0.4277 1
Pr7 0.1154 0.0432 0.2154 1
Pr8 0.1154 0.5723 0.9001 1
Pr9 0.1722 0.2154 0.5999 1
Pr10 0.1722 0.4568 0.5723 1
Pr11 0.2154 0.1154 0.0432 1
Pr12 0.2154 0.5999 0.1722 1
Pr13 0.2846 0.3278 0.9001 1
Pr14 0.2846 0.4568 0.3846 1
Pr15 0.3278 0.9001 0.2846 1
Pr16 0.3278 0.9277 0.0432 1
Pr17 0.3846 0.2846 0.4568 1
Pr18 0.3846 0.5999 0.9277 1
Pr19 0.4001 0.0723 0.6154 1
Pr20 0.4001 0.8278 0.7846 1
Pr21 0.4277 0.0999 0.8846 1
Pr22 0.4277 0.8278 0.5432 1
Pr23 0.4568 0.3846 0.2846 1
Pr24 0.4568 0.5723 0.1722 1
Pr25 0.5432 0.4277 0.8278 1
Pr26 0.5432 0.6154 0.7154 1
Pr27 0.5723 0.1722 0.4568 1
Pr28 0.5723 0.9001 0.1154 1
Pr29 0.5999 0.1722 0.2154 1
Pr30 0.5999 0.9277 0.3846 1
Pr31 0.6154 0.4001 0.0723 1
Pr32 0.6154 0.7154 0.5432 1
Pr33 0.6722 0.0723 0.9568 1
Pr34 0.6722 0.0999 0.7154 1
Pr35 0.7154 0.5432 0.6154 1
Pr36 0.7154 0.6722 0.0999 1
Pr37 0.7846 0.4001 0.8278 1
Pr38 0.7846 0.8846 0.9568 1
Pr39 0.8278 0.5432 0.4277 1
Pr40 0.8278 0.7846 0.4001 1
Pr41 0.8846 0.4277 0.0999 1
Pr42 0.8846 0.9568 0.7846 1
Pr43 0.9001 0.1154 0.5723 1
Pr44 0.9001 0.2846 0.3278 1
Pr45 0.9277 0.0432 0.3278 1
Pr46 0.9277 0.3846 0.5999 1
Pr47 0.9568 0.6722 0.0723 1
Pr48 0.9568 0.7846 0.8846 1
Pb1 0.0000 0.0000 0.0000 1
Pb2 0.0000 0.0000 0.5000 1
Pb3 0.0000 0.5000 0.0000 1
Pb4 0.0000 0.5000 0.5000 1
Pb5 0.1250 0.7500 0.8750 1
Pb6 0.1250 0.8750 0.2500 1
Pb7 0.2500 0.1250 0.8750 1
Pb8 0.2500 0.6250 0.3750 1
Pb9 0.3750 0.2500 0.6250 1
Pb10 0.3750 0.6250 0.7500 1
Pb11 0.5000 0.0000 0.0000 1
Pb12 0.5000 0.0000 0.5000 1
Pb13 0.5000 0.5000 0.0000 1
Pb14 0.5000 0.5000 0.5000 1
Pb15 0.6250 0.3750 0.2500 1
Pb16 0.6250 0.7500 0.3750 1
Pb17 0.7500 0.3750 0.6250 1
Pb18 0.7500 0.8750 0.1250 1
Pb19 0.8750 0.1250 0.7500 1
Pb20 0.8750 0.2500 0.1250 1

=====

3.
# CaPr2Pb3 GGA-PBE relaxed
# - polymorph energy (0 for the lowest one) (eV per formula unit) = 0.26
# - crystal system = monoclinic
# - energy of formation from the pure elements (kJ/mol of formula units) = -279
# - magnetic moment (μB per cell) = 0.0
# - symmetry = C2/c, No. 15
data_CaPr2Pb3
_chemical_formula_sum 'Ca2 Pr4 Pb6'
_space_group_name_H-M_alt 'P 1'
_space_group_IT_number 1
_cell_length_a 9.3482
_cell_length_b 9.3482
_cell_length_c 6.5926
_cell_angle_alpha 98.34
_cell_angle_beta 98.34
_cell_angle_gamma 41.49
loop_
_space_group_symop_operation_xyz
'x,y,z'
loop_
_atom_site_label
_atom_site_fract_x
_atom_site_fract_y
_atom_site_fract_z
_atom_site_occupancy
Ca1 0.1266 0.8734 0.7500 1
Ca2 0.8734 0.1266 0.2500 1
Pr1 0.2066 0.4594 0.4055 1
Pr2 0.4594 0.2066 0.9055 1
Pr3 0.5406 0.7934 0.0945 1
Pr4 0.7934 0.5406 0.5945 1
Pb1 0.0442 0.2943 0.0742 1
Pb2 0.2943 0.0442 0.5742 1
Pb3 0.3774 0.6226 0.2500 1
Pb4 0.6226 0.3774 0.7500 1
Pb5 0.7057 0.9558 0.4258 1
Pb6 0.9558 0.7057 0.9258 1

=====

4.
# CaPr2Pb GGA-PBE relaxed
# - polymorph energy (0 for the lowest one) (eV per formula unit) = 0.44
# - crystal system = cubic
# - energy of formation from the pure elements (kJ/mol of formula units) = -78
# - magnetic moment (μB per cell) = 0.0
# - symmetry = Fm-3m, No. 225
data_CaPr2Pb
_chemical_formula_sum 'Ca1 Pr2 Pb1'
_space_group_name_H-M_alt 'P 1'
_space_group_IT_number 1
_cell_length_a 5.6924
_cell_length_b 5.6924
_cell_length_c 5.6924
_cell_angle_alpha 60.00
_cell_angle_beta 60.00
_cell_angle_gamma 60.00
loop_
_space_group_symop_operation_xyz
'x,y,z'
loop_
_atom_site_label
_atom_site_fract_x
_atom_site_fract_y
_atom_site_fract_z
_atom_site_occupancy
Ca1 0.0000 0.0000 0.0000 1
Pr1 0.2500 0.2500 0.2500 1
Pr2 0.7500 0.7500 0.7500 1
Pb1 0.5000 0.5000 0.5000 1

=====

5.
# CaPr2Pb GGA-PBE relaxed
# - polymorph energy (0 for the lowest one) (eV per formula unit) = 1.13
# - crystal system = trigonal
# - energy of formation from the pure elements (kJ/mol of formula units) = -11
# - magnetic moment (μB per cell) = 0.7
# - symmetry = R3m, No. 160
data_CaPr2Pb
_chemical_formula_sum 'Ca1 Pr2 Pb1'
_space_group_name_H-M_alt 'P 1'
_space_group_IT_number 1
_cell_length_a 8.4195
_cell_length_b 8.4195
_cell_length_c 8.4195
_cell_angle_alpha 33.43
_cell_angle_beta 33.43
_cell_angle_gamma 33.43
loop_
_space_group_symop_operation_xyz
'x,y,z'
loop_
_atom_site_label
_atom_site_fract_x
_atom_site_fract_y
_atom_site_fract_z
_atom_site_occupancy
Ca1 0.0000 0.0000 0.0000 1
Pr1 0.2316 0.2316 0.2316 1
Pr2 0.4360 0.4360 0.4360 1
Pb1 0.8355 0.8355 0.8355 1

=====

6.
# CaPr2Pb9 GGA-PBE relaxed
# - crystal system = tetragonal
# - energy of formation from the pure elements (kJ/mol of formula units) = -425
# - magnetic moment (μB per cell) = 0.0
# - symmetry = P4/mmm, No. 123
data_CaPr2Pb9
_chemical_formula_sum 'Ca1 Pr2 Pb9'
_space_group_name_H-M_alt 'P 1'
_space_group_IT_number 1
_cell_length_a 4.9367
_cell_length_b 4.9367
_cell_length_c 14.8709
_cell_angle_alpha 90.00
_cell_angle_beta 90.00
_cell_angle_gamma 90.00
loop_
_space_group_symop_operation_xyz
'x,y,z'
loop_
_atom_site_label
_atom_site_fract_x
_atom_site_fract_y
_atom_site_fract_z
_atom_site_occupancy
Ca1 0.0000 0.0000 0.0000 1
Pr1 0.0000 0.0000 0.3359 1
Pr2 0.0000 0.0000 0.6641 1
Pb1 0.0000 0.5000 0.1646 1
Pb2 0.0000 0.5000 0.5000 1
Pb3 0.0000 0.5000 0.8354 1
Pb4 0.5000 0.0000 0.1646 1
Pb5 0.5000 0.0000 0.5000 1
Pb6 0.5000 0.0000 0.8354 1
Pb7 0.5000 0.5000 0.0000 1
Pb8 0.5000 0.5000 0.3320 1
Pb9 0.5000 0.5000 0.6680 1

=====

7.
# CaPrPb2 GGA-PBE relaxed
# - crystal system = tetragonal
# - energy of formation from the pure elements (kJ/mol of formula units) = -203
# - magnetic moment (μB per cell) = 0.0
# - symmetry = P4/mmm, No. 123
data_CaPrPb2
_chemical_formula_sum 'Ca1 Pr1 Pb2'
_space_group_name_H-M_alt 'P 1'
_space_group_IT_number 1
_cell_length_a 3.6194
_cell_length_b 3.6194
_cell_length_c 9.2814
_cell_angle_alpha 90.00
_cell_angle_beta 90.00
_cell_angle_gamma 90.00
loop_
_space_group_symop_operation_xyz
'x,y,z'
loop_
_atom_site_label
_atom_site_fract_x
_atom_site_fract_y
_atom_site_fract_z
_atom_site_occupancy
Ca1 0.0000 0.0000 0.0000 1
Pr1 0.0000 0.0000 0.5000 1
Pb1 0.5000 0.5000 0.2463 1
Pb2 0.5000 0.5000 0.7537 1

=====

8.
# Ca2PrPb GGA-PBE relaxed
# - polymorph energy (0 for the lowest one) (eV per formula unit) = 0.00
# - crystal system = tetragonal
# - energy of formation from the pure elements (kJ/mol of formula units) = -123
# - magnetic moment (μB per cell) = 0.0
# - symmetry = P4/mmm, No. 123
data_Ca2PrPb
_chemical_formula_sum 'Ca2 Pr1 Pb1'
_space_group_name_H-M_alt 'P 1'
_space_group_IT_number 1
_cell_length_a 4.9971
_cell_length_b 4.9971
_cell_length_c 5.2546
_cell_angle_alpha 90.00
_cell_angle_beta 90.00
_cell_angle_gamma 90.00
loop_
_space_group_symop_operation_xyz
'x,y,z'
loop_
_atom_site_label
_atom_site_fract_x
_atom_site_fract_y
_atom_site_fract_z
_atom_site_occupancy
Ca1 0.0000 0.5000 0.0000 1
Ca2 0.5000 0.0000 0.0000 1
Pr1 0.0000 0.0000 0.5000 1
Pb1 0.5000 0.5000 0.5000 1

=====

9.
# CaPrPb2 GGA-PBE relaxed
# - crystal system = orthorhombic
# - energy of formation from the pure elements (kJ/mol of formula units) = -193
# - magnetic moment (μB per cell) = 0.0
# - symmetry = Pmc2_1, No. 26
data_CaPrPb2
_chemical_formula_sum 'Ca2 Pr2 Pb4'
_space_group_name_H-M_alt 'P 1'
_space_group_IT_number 1
_cell_length_a 4.4725
_cell_length_b 6.4087
_cell_length_c 9.0022
_cell_angle_alpha 90.00
_cell_angle_beta 90.00
_cell_angle_gamma 90.00
loop_
_space_group_symop_operation_xyz
'x,y,z'
loop_
_atom_site_label
_atom_site_fract_x
_atom_site_fract_y
_atom_site_fract_z
_atom_site_occupancy
Ca1 0.0000 0.1190 0.0000 1
Ca2 0.0000 0.8810 0.5000 1
Pr1 0.5000 0.3675 0.3751 1
Pr2 0.5000 0.6325 0.8751 1
Pb1 0.0000 0.4240 0.6475 1
Pb2 0.0000 0.5760 0.1475 1
Pb3 0.5000 0.0993 0.7268 1
Pb4 0.5000 0.9007 0.2268 1

=====

10.
# CaPr2Pb GGA-PBE relaxed
# - polymorph energy (0 for the lowest one) (eV per formula unit) = 0.00
# - crystal system = tetragonal
# - energy of formation from the pure elements (kJ/mol of formula units) = -120
# - magnetic moment (μB per cell) = 0.0
# - symmetry = P4/mmm, No. 123
data_CaPr2Pb
_chemical_formula_sum 'Ca1 Pr2 Pb1'
_space_group_name_H-M_alt 'P 1'
_space_group_IT_number 1
_cell_length_a 5.0599
_cell_length_b 5.0599
_cell_length_c 5.0407
_cell_angle_alpha 90.00
_cell_angle_beta 90.00
_cell_angle_gamma 90.00
loop_
_space_group_symop_operation_xyz
'x,y,z'
loop_
_atom_site_label
_atom_site_fract_x
_atom_site_fract_y
_atom_site_fract_z
_atom_site_occupancy
Ca1 0.0000 0.0000 0.0000 1
Pr1 0.0000 0.5000 0.5000 1
Pr2 0.5000 0.0000 0.5000 1
Pb1 0.5000 0.5000 0.0000 1

=====

11.
# CaPr5Pb6 GGA-PBE relaxed
# - crystal system = monoclinic
# - energy of formation from the pure elements (kJ/mol of formula units) = -604
# - magnetic moment (μB per cell) = 0.0
# - symmetry = C2/m, No. 12
data_CaPr5Pb6
_chemical_formula_sum 'Ca1 Pr5 Pb6'
_space_group_name_H-M_alt 'P 1'
_space_group_IT_number 1
_cell_length_a 9.3774
_cell_length_b 9.3774
_cell_length_c 5.9104
_cell_angle_alpha 96.38
_cell_angle_beta 96.38
_cell_angle_gamma 45.56
loop_
_space_group_symop_operation_xyz
'x,y,z'
loop_
_atom_site_label
_atom_site_fract_x
_atom_site_fract_y
_atom_site_fract_z
_atom_site_occupancy
Ca1 0.0000 0.0000 0.0000 1
Pr1 0.1682 0.1682 0.6898 1
Pr2 0.3322 0.3322 0.3287 1
Pr3 0.5000 0.5000 0.0000 1
Pr4 0.6678 0.6678 0.6713 1
Pr5 0.8318 0.8318 0.3102 1
Pb1 0.0845 0.5891 0.8217 1
Pb2 0.2453 0.7547 0.5000 1
Pb3 0.4109 0.9155 0.1783 1
Pb4 0.5891 0.0845 0.8217 1
Pb5 0.7547 0.2453 0.5000 1
Pb6 0.9155 0.4109 0.1783 1

=====

12.
# CaPr2Pb GGA-PBE relaxed
# - polymorph energy (0 for the lowest one) (eV per formula unit) = 1.21
# - crystal system = trigonal
# - energy of formation from the pure elements (kJ/mol of formula units) = -3
# - magnetic moment (μB per cell) = 0.0
# - symmetry = R-3m, No. 166
data_CaPr2Pb
_chemical_formula_sum 'Ca1 Pr2 Pb1'
_space_group_name_H-M_alt 'P 1'
_space_group_IT_number 1
_cell_length_a 12.7699
_cell_length_b 12.7699
_cell_length_c 12.7699
_cell_angle_alpha 16.26
_cell_angle_beta 16.26
_cell_angle_gamma 16.26
loop_
_space_group_symop_operation_xyz
'x,y,z'
loop_
_atom_site_label
_atom_site_fract_x
_atom_site_fract_y
_atom_site_fract_z
_atom_site_occupancy
Ca1 0.0000 0.0000 0.0000 1
Pr1 0.0937 0.0937 0.0937 1
Pr2 0.9063 0.9063 0.9063 1
Pb1 0.5000 0.5000 0.5000 1